(1)
The following is a DFT calculation (PBE) of a relaxed structure of K2ScP.

Cell and atoms, written as POSCAR:
```
K2ScP
1.0
3.710 0.000 0.000
0.000 3.778 0.021
0.000 1.762 10.472
K P Sc
2 1 1
Direct
0.000 0.097 0.936
0.500 0.398 0.320
0.000 0.257 0.612
0.500 0.748 0.632
```

Symmetry ... No. 6
Total moment ... 0.60 μB/f.u.
Energy relative to the elements ... -0.4148 eV/atom

(2)
The following is a DFT calculation (PBE) of a relaxed structure of PmNd3Te.

Cell and atoms, written as POSCAR:
```
PmNd3Te
1.0
-2.325 1.151 -5.251
-4.539 -4.472 1.030
-2.702 8.611 3.083
Pm Nd Te
2 6 2
Direct
0.250 0.307 0.195
0.750 0.693 0.805
0.750 0.621 0.417
0.250 0.379 0.583
0.750 0.305 0.001
0.250 0.973 0.730
0.250 0.695 0.999
0.750 0.027 0.270
0.250 0.856 0.358
0.750 0.144 0.642
```

Symmetry ... No. 11
Total moment ... 0.00 μB/f.u.
Formation energy from raw total energies ... -0.432 eV per atom